Record 1
This record from the Alexandria database describes crystalline PaMoPt at its relaxed geometry. The functional is PBE.

abc: 16.865 3.500 4.249
angles: 90.00 90.00 90.00
Fractional positions:
Pa1 0.129 0.250 0.248
Pa2 0.371 0.750 0.748
Pa3 0.629 0.250 0.252
Pa4 0.871 0.750 0.752
Mo1 0.227 0.250 0.744
Mo2 0.273 0.750 0.244
Mo3 0.727 0.250 0.756
Mo4 0.773 0.750 0.256
Pt1 0.004 0.250 0.750
Pt2 0.496 0.750 0.250
Pt3 0.504 0.250 0.750
Pt4 0.996 0.750 0.250

Calculated values
ΔH_f (0 K) (eV per atom): -0.014
Energy above the most stable polymorph in this dataset (meV/atom): 84

Record 2
This record from the Alexandria database describes crystalline PaMoPt2 at its relaxed geometry. The functional is PBE.

abc: 4.110 4.110 4.259
angles: 90.00 90.00 90.00
Fractional positions:
Pa1 0.000 0.000 0.000
Mo1 0.500 0.500 0.000
Pt1 0.000 0.500 0.500
Pt2 0.500 0.000 0.500

Calculated values
ΔH_f (0 K) (eV per atom): -0.634
Energy above the most stable polymorph in this dataset (meV/atom): 0

Record 3
This record from the Alexandria database describes crystalline Pa2MoPt at its relaxed geometry. The functional is PBE.

abc: 10.322 10.322 10.322
angles: 17.21 17.21 17.21
Fractional positions:
Pa1 0.090 0.090 0.090
Pa2 0.910 0.910 0.910
Mo1 0.500 0.500 0.500
Pt1 0.000 0.000 0.000

Calculated values
ΔH_f (0 K) (eV per atom): 0.165
Energy above the most stable polymorph in this dataset (meV/atom): 466

Record 4
This record from the Alexandria database describes crystalline PaMoPt at its relaxed geometry. The functional is PBE.

abc: 4.470 4.470 3.607
angles: 90.00 90.00 120.00
Fractional positions:
Pa1 0.000 0.000 0.000
Mo1 0.333 0.667 0.500
Pt1 0.667 0.333 0.500

Calculated values
ΔH_f (0 K) (eV per atom): -0.098
Energy above the most stable polymorph in this dataset (meV/atom): 0

Which of these has the highest energy above the most stable polymorph in this dataset? Pa2MoPt